DFT (PBE) results for a relaxed structure of AlFeNiHg.

Output
Space-group type ... F-43m, No. 216
ΔE to the lowest computed polymorph ... 0 meV per atom
Calculated density ... 9.9 g/cm³

Cell lengths 4.3254, 4.3254, 4.3254 Å; angles 60.00, 60.00, 60.00 degrees
With the nearest neighbours (Å) after each atom.
Fractional coordinates of all 4 atoms:
Al: 0.0000 0.0000 0.0000  4 Ni 2.65, 4 Fe 2.65
Fe: 0.2500 0.2500 0.2500  4 Hg 2.65, 4 Al 2.65
Ni: 0.7500 0.7500 0.7500  4 Hg 2.65, 4 Al 2.65
Hg: 0.5000 0.5000 0.5000  4 Ni 2.65, 4 Fe 2.65

***

DFT (PBE) results for a relaxed structure of TbDySi2Ir.

Output
Space-group type ... C2/m, No. 12
Total energy ... -6.747 eV per atom
Calculated density ... 9.5 g/cm³

Cell lengths 5.6355, 5.6355, 10.1554 Å; angles 115.32, 115.32, 44.34 degrees
With the nearest neighbours (Å) after each atom.
Fractional coordinates of all 10 atoms:
Tb: 0.1908 0.1908 0.1136  6 Si 2.99-3.10, 2 Ir 3.05
Tb: 0.8092 0.8092 0.8864  6 Si 2.99-3.10, 2 Ir 3.05
Dy: 0.0053 0.0053 0.3275  4 Ir 2.96-3.20, 7 Si 2.97-3.26
Dy: 0.9947 0.9947 0.6725  4 Ir 2.96-3.20, 7 Si 2.97-3.26
Si: 0.3534 0.3534 0.4453  3 Ir 2.45-2.65, 1 Si 2.73
Si: 0.4887 0.4887 0.1162  1 Si 2.48, 1 Ir 2.51
Si: 0.5113 0.5113 0.8838  1 Si 2.48, 1 Ir 2.51
Si: 0.6466 0.6466 0.5547  3 Ir 2.45-2.65, 1 Si 2.73
Ir: 0.2706 0.2706 0.6558  4 Si 2.45-2.65
Ir: 0.7294 0.7294 0.3442  4 Si 2.45-2.65

***

DFT (PBE) results for a relaxed structure of ZrPd.

Output
Space-group type ... Pm-3m, No. 221
Formation energy from the elements ... -1.17 eV/f.u.
Calculated density ... 8.7 g/cm³

Cell lengths 3.3521, 3.3521, 3.3521 Å; angles 90.00, 90.00, 90.00 degrees
With the nearest neighbours (Å) after each atom.
Fractional coordinates of all 2 atoms:
Zr: 0.0000 0.0000 0.0000  8 Pd 2.90
Pd: 0.5000 0.5000 0.5000  8 Zr 2.90

***

DFT (PBE) results for a relaxed structure of HfCdSiNi.

Output
Space-group type ... F-43m, No. 216
Total energy ... -5.443 eV per atom
Calculated density ... 9.6 g/cm³

Cell lengths 4.5235, 4.5235, 4.5235 Å; angles 60.00, 60.00, 60.00 degrees
With the nearest neighbours (Å) after each atom.
Fractional coordinates of all 4 atoms:
Hf: 0.0000 0.0000 0.0000  4 Cd 2.77, 4 Si 2.77
Cd: 0.7500 0.7500 0.7500  4 Ni 2.77, 4 Hf 2.77
Si: 0.2500 0.2500 0.2500  4 Ni 2.77, 4 Hf 2.77
Ni: 0.5000 0.5000 0.5000  4 Cd 2.77, 4 Si 2.77

***

Please write out number 3 again, unchanged.
DFT (PBE) results for a relaxed structure of ZrPd.

Output
Space-group type ... Pm-3m, No. 221
Formation energy from the elements ... -1.17 eV/f.u.
Calculated density ... 8.7 g/cm³

Cell lengths 3.3521, 3.3521, 3.3521 Å; angles 90.00, 90.00, 90.00 degrees
With the nearest neighbours (Å) after each atom.
Fractional coordinates of all 2 atoms:
Zr: 0.0000 0.0000 0.0000  8 Pd 2.90
Pd: 0.5000 0.5000 0.5000  8 Zr 2.90